Sr3Sb3Ir2: optimized geometry, PBE-GGA.

Cell and atoms, written as CIF:
```
data_Sr3Sb3Ir2
_chemical_formula_sum 'Sr12 Sb12 Ir8'
_cell_length_a 4.663
_cell_length_b 11.741
_cell_length_c 15.797
_cell_angle_alpha 90.00
_cell_angle_beta 90.00
_cell_angle_gamma 90.00
_space_group_name_H-M_alt 'C m c m'
_space_group_IT_number 63
_space_group_name_Hall '-C 2c 2'
loop_
_atom_site_label
_atom_site_type_symbol
_atom_site_fract_x
_atom_site_fract_y
_atom_site_fract_z
_atom_site_occupancy
Sr1 Sr 0.000 0.074 0.109 1
Sr2 Sr 0.000 0.362 0.250 1
Sb1 Sb 0.000 0.335 0.750 1
Sb2 Sb 0.000 0.352 0.036 1
Ir1 Ir 0.000 0.211 0.603 1
```

Uncorrected energy   -5.097 eV per atom
Raw formation energy   -0.705 eV/atom